The following is a meta-GGA SCAN calculation of a crystal of La3SnH relaxed with PBEsol, from Alexandria.

POSCAR file:
```
La3SnH
1.0
4.987 0.000 0.000
0.000 4.987 0.000
0.000 0.000 4.987
La Sn H
3 1 1
direct
0.500 0.000 0.000
0.000 0.500 0.000
0.000 0.000 0.500
0.500 0.500 0.500
0.000 0.000 0.000
```

- energy (eV per cell) = -171.74
- N(E_F) (states/eV per cell) = 4.48

The following is a meta-GGA SCAN calculation of a crystal of La2SnH2 relaxed with PBEsol, from Alexandria.

POSCAR file:
```
La2SnH2
1.0
-0.921 -3.895 1.324
3.811 -0.297 1.778
-3.436 4.132 3.056
H La Sn
2 2 1
direct
0.750 0.250 0.500
0.250 0.750 0.500
0.649 0.649 0.298
0.351 0.351 0.702
0.000 0.000 0.000
```

- energy (eV per cell) = -133.31
- N(E_F) (states/eV per cell) = 0.81

The following is a meta-GGA SCAN calculation of a crystal of SrLa2H relaxed with PBEsol, from Alexandria.

POSCAR file:
```
SrLa2H
1.0
-5.162 -3.660 3.036
4.701 -3.784 -3.583
4.472 3.157 4.393
H La Sr
2 4 2
direct
0.000 0.500 0.500
0.500 0.250 0.750
0.332 0.875 0.707
0.168 0.293 0.625
0.668 0.375 0.543
0.832 0.457 0.125
0.500 0.750 0.250
0.000 0.000 0.000
```

- energy (eV per cell) = -224.89
- N(E_F) (states/eV per cell) = 7.37

The following is a meta-GGA SCAN calculation of a crystal of La2TaH relaxed with PBEsol, from Alexandria.

POSCAR file:
```
La2TaH
1.0
-0.146 2.036 5.013
-3.937 -3.480 1.299
6.624 -3.738 -1.210
La H Ta
4 2 2
direct
0.440 0.875 0.250
0.125 0.190 0.750
0.625 0.560 0.750
0.810 0.375 0.250
0.750 0.250 0.500
0.500 0.500 0.000
0.000 0.000 0.000
0.250 0.750 0.500
```

- energy (eV per cell) = -307.09
- N(E_F) (states/eV per cell) = 6.73

The following is a meta-GGA SCAN calculation of a crystal of LaTe3H relaxed with PBEsol, from Alexandria.

POSCAR file:
```
LaTe3H
1.0
6.107 0.000 0.000
0.000 6.107 0.000
0.000 0.000 6.107
La Te H
1 3 1
direct
0.000 0.000 0.000
0.000 0.500 0.000
0.000 0.000 0.500
0.500 0.000 0.000
0.500 0.500 0.500
```

- energy (eV per cell) = -157.13
- N(E_F) (states/eV per cell) = 3.57

The following is a meta-GGA SCAN calculation of a crystal of La2TeH2 relaxed with PBEsol, from Alexandria.

POSCAR file:
```
La2TeH2
1.0
3.930 0.000 0.000
0.000 3.930 0.000
-1.965 -1.965 6.493
La Te H
2 1 2
direct
0.358 0.358 0.717
0.642 0.642 0.283
0.000 0.000 0.000
0.750 0.250 0.500
0.250 0.750 0.500
```

- energy (eV per cell) = -135.66
- N(E_F) (states/eV per cell) = 2.42